[1]
# Sr2NiIr

Sr2NiIr at its PBEsol-relaxed geometry (SCAN, the Alexandria database).

Calculated values
E_form: -0.203 eV per atom
Density of states at the Fermi level: 2.2 states/eV per cell
Total DFT energy (no corrections): -33.159 eV/atom

Lattice parameters (Å, degrees): 4.2982 5.6658 5.6658 47.56 90.00 90.00
Fractional coordinates of all 4 atoms:
Sr (0.0000, 0.0000, 0.0000)
Sr (0.5000, 0.2897, 0.2897)
Ni (0.5000, 0.6042, 0.6042)
Ir (0.0000, 0.6879, 0.6879)



[2]
# Li2TlHg

Li2TlHg at its PBEsol-relaxed geometry (SCAN, the Alexandria database).

Calculated values
E_form: -0.381 eV per atom
Density of states at the Fermi level: 1.4 states/eV per cell
Total DFT energy (no corrections): -36.706 eV/atom

Lattice parameters (Å, degrees): 3.4296 3.4296 6.3283 90.00 90.00 90.00
Fractional coordinates of all 4 atoms:
Li (0.0000, 0.0000, 0.2391)
Li (0.0000, 0.0000, 0.7609)
Tl (0.5000, 0.5000, 0.5000)
Hg (0.5000, 0.5000, 0.0000)



[3]
# BeCu3

BeCu3 at its PBEsol-relaxed geometry (SCAN, the Alexandria database).

Calculated values
E_form: -0.040 eV per atom
Density of states at the Fermi level: 1.2 states/eV per cell
Total DFT energy (no corrections): -12.528 eV/atom

Lattice parameters (Å, degrees): 4.1608 4.1608 2.5545 90.00 90.00 106.88
Fractional coordinates of all 4 atoms:
Be (0.0000, 0.0000, 0.0000)
Cu (0.0000, 0.5000, 0.5000)
Cu (0.5000, 0.0000, 0.5000)
Cu (0.5000, 0.5000, 0.0000)